Computed, not measured: crystalline BTeRhAu at its relaxed geometry at the PBE level of DFT.

a b c (Å): 7.807 3.186 6.132
angles (deg): 90.00 92.10 90.00
Space group Cm (No. 8)
Unique sites:
B 0.000 0.000 0.000 [2 per cell]
Te 0.304 0.000 0.567 [2 per cell]
Rh 0.082 0.500 0.835 [2 per cell]
Au 0.312 0.000 0.112 [2 per cell]

Values from the calculation:
Size of the total moment = 0.00 Bohr magnetons per cell
Energy relative to the elements, uncorrected = 0.0932 eV/atom
Energy above the most stable polymorph in this dataset = 13 meV per atom
Volume = 152.4 Å³ per cell